Crystalline Ca3Ag at its relaxed geometry. Source: the Alexandria database, functional GGA-PBE.

```
8
Lattice="-0.165 -2.445 3.303 -4.678 -2.318 -4.510 6.949 -6.025 -4.111" Properties=species:S:1:pos:R:3 pbc="T T T"
Ca 1.085 -1.991 -1.419
Ca 2.469 -5.607 -1.465
Ca -0.363 -5.181 -3.852
Ca 5.093 -7.881 -3.017
Ca 1.021 -8.796 -3.898
Ca -2.987 -2.906 -2.300
Ag 2.816 -6.301 -4.522
Ag -0.710 -4.487 -0.795
```

## Properties
ΔE to the lowest computed polymorph, meV/atom: 4
Formation energy, eV per atom: -0.19
Total DFT energy (no corrections), eV/f.u.: -9.62
V, Å³ per atom: 34.11
Magnetization, μB/cell: 0.0
Space-group type: Cmcm, No. 63

---

Crystalline Ca3Ag11 at its relaxed geometry. Source: the Alexandria database, functional GGA-PBE.

```
14
Lattice="4.526 0.000 1.268 1.487 7.777 3.405 0.028 -0.388 8.610" Properties=species:S:1:pos:R:3 pbc="T T T"
Ca 2.418 5.171 8.790
Ca 0.000 0.000 0.000
Ca 3.622 2.217 4.493
Ag 2.756 2.216 7.584
Ag 3.284 5.172 5.699
Ag 4.580 2.777 9.786
Ag 5.236 6.452 7.443
Ag 4.087 4.980 11.544
Ag 1.544 0.116 3.201
Ag 0.757 3.694 6.007
Ag 1.461 4.612 3.497
Ag 1.953 2.409 1.739
Ag 0.804 0.936 5.840
Ag 4.497 7.273 10.082
```

## Properties
Formation energy, eV per atom: -0.17
Total DFT energy (no corrections), eV/f.u.: -39.74
V, Å³ per atom: 22.00
Magnetization, μB/cell: 0.0
Space-group type: Immm, No. 71

---

Crystalline Ca2Ag7 at its relaxed geometry. Source: the Alexandria database, functional GGA-PBE.

```
18
Lattice="-1.079 4.288 3.549 -5.151 2.369 0.102 -6.108 -6.972 11.097" Properties=species:S:1:pos:R:3 pbc="T T T"
Ag -6.169 -0.157 7.374
Ag -2.575 1.184 0.051
Ag -5.284 -1.752 9.570
Ag -9.587 -0.997 11.879
Ag -7.511 -3.217 10.664
Ag -3.115 3.329 1.825
Ag -4.455 0.242 5.127
Ag -0.539 2.144 1.775
Ag -4.826 2.903 4.084
Ag -7.338 -2.720 7.831
Ag -7.883 -0.557 9.621
Ag -7.053 1.437 5.178
Ag -2.751 0.682 2.869
Ag -4.999 2.406 6.917
Ca -6.848 5.247 5.166
Ca -8.028 2.556 8.060
Ca -5.489 -5.562 9.582
Ca -4.309 -2.871 6.688
```

## Properties
ΔE to the lowest computed polymorph, meV/atom: 28
Formation energy, eV per atom: -0.19
Total DFT energy (no corrections), eV/f.u.: -25.69
V, Å³ per atom: 21.78
Magnetization, μB/cell: 0.0
Space-group type: R-3m, No. 166

---

Crystalline Ca5Ag at its relaxed geometry. Source: the Alexandria database, functional GGA-PBE.

```
6
Lattice="5.293 4.335 -1.077 -5.977 2.399 2.547 2.090 -1.080 5.924" Properties=species:S:1:pos:R:3 pbc="T T T"
Ag 0.000 0.000 0.000
Ca 0.703 2.827 3.697
Ca -2.221 3.044 1.339
Ca -1.943 0.659 4.235
Ca 1.536 3.689 0.131
Ca 3.692 1.627 2.423
```

## Properties
ΔE to the lowest computed polymorph, meV/atom: 512
Formation energy, eV per atom: 0.41
Total DFT energy (no corrections), eV/f.u.: -10.40
V, Å³ per atom: 44.13
Magnetization, μB/cell: 0.0
Space-group type: P6/mmm, No. 191

---

Crystalline CaAg7 at its relaxed geometry. Source: the Alexandria database, functional GGA-PBE.

```
8
Lattice="-5.343 -1.321 2.417 -0.352 -1.754 5.739 -2.422 3.651 4.115" Properties=species:S:1:pos:R:3 pbc="T T T"
Ca 0.000 0.000 0.000
Ag -1.387 0.949 4.927
Ag -4.059 0.288 6.135
Ag -1.211 1.825 2.058
Ag -2.847 -1.537 4.078
Ag -2.671 -0.660 1.208
Ag -0.176 -0.877 2.869
Ag -3.883 1.165 3.266
```

## Properties
Formation energy, eV per atom: -0.04
Total DFT energy (no corrections), eV/f.u.: -22.27
V, Å³ per atom: 19.20
Magnetization, μB/cell: 0.0
Space-group type: Fm-3m, No. 225

---

Crystalline Ca4Ag3 at its relaxed geometry. Source: the Alexandria database, functional GGA-PBE.

```
7
Lattice="-3.744 -2.357 2.785 -1.630 -4.784 -1.335 4.165 -5.830 5.572" Properties=species:S:1:pos:R:3 pbc="T T T"
Ag 0.000 0.000 0.000
Ag -0.321 -3.232 1.740
Ag -0.890 -9.739 5.282
Ca -3.130 -8.442 3.368
Ca 1.615 -7.771 5.408
Ca 1.920 -4.530 3.654
Ca -2.825 -5.200 1.614
```

## Properties
ΔE to the lowest computed polymorph, meV/atom: 0
Formation energy, eV per atom: -0.24
Total DFT energy (no corrections), eV/f.u.: -18.27
V, Å³ per atom: 28.94
Magnetization, μB/cell: 0.0
Space-group type: R-3m, No. 166

---

Crystalline CaAg at its relaxed geometry. Source: the Alexandria database, functional GGA-PBE.

```
16
Lattice="-1.358 -10.957 1.910 4.224 1.272 10.300 -3.631 0.695 1.404" Properties=species:S:1:pos:R:3 pbc="T T T"
Ca 0.303 -8.962 5.218
Ca -0.510 -0.868 4.682
Ca 1.278 -2.500 10.115
Ca -2.043 -6.492 3.498
Ca 0.127 -3.628 2.124
Ca 2.739 -6.058 10.085
Ca -0.255 -8.123 8.931
Ca 2.564 -0.724 6.992
Ag -0.841 -9.070 2.312
Ag 2.267 -9.133 10.386
Ag 3.708 -0.616 9.898
Ag -0.982 -3.943 4.983
Ag 0.599 -0.553 1.824
Ag -0.899 -6.383 6.404
Ag 0.217 -5.048 8.631
Ag 0.134 -2.608 7.209
```

## Properties
Formation energy, eV per atom: -0.03
Total DFT energy (no corrections), eV/f.u.: -4.91
V, Å³ per atom: 31.03
Magnetization, μB/cell: 0.0
Space-group type: I4/m, No. 87

---

Crystalline CaAg at its relaxed geometry. Source: the Alexandria database, functional GGA-PBE.

```
24
Lattice="6.527 0.000 0.000 0.000 9.313 0.000 0.000 0.000 10.554" Properties=species:S:1:pos:R:3 pbc="T T T"
Ag 4.895 8.859 4.439
Ag 4.895 4.203 6.114
Ag 1.632 5.963 9.042
Ag 3.263 6.984 0.678
Ag 4.895 8.006 9.042
Ag 3.263 2.328 9.875
Ag 0.000 2.328 9.875
Ag 0.000 6.984 0.678
Ag 4.895 3.349 1.511
Ag 1.632 0.453 6.114
Ag 1.632 1.307 1.511
Ag 1.632 5.110 4.439
Ca 3.263 2.328 4.056
Ca 1.632 3.456 7.318
Ca 1.632 8.112 3.236
Ca 0.000 6.984 6.498
Ca 4.895 4.939 9.295
Ca 3.263 6.984 6.498
Ca 4.895 1.201 7.318
Ca 1.632 4.374 1.259
Ca 1.632 9.030 9.295
Ca 0.000 2.328 4.056
Ca 4.895 5.857 3.236
Ca 4.895 0.283 1.259
```

## Properties
Formation energy, eV per atom: -0.27
Total DFT energy (no corrections), eV/f.u.: -5.38
V, Å³ per atom: 26.73
Magnetization, μB/cell: 0.0
Space-group type: Pbcm, No. 57

---

Crystalline CaAg2 at its relaxed geometry. Source: the Alexandria database, functional GGA-PBE.

```
6
Lattice="1.886 -0.018 6.518 3.280 3.486 4.809 -3.420 3.274 3.925" Properties=species:S:1:pos:R:3 pbc="T T T"
Ag 1.745 2.538 6.629
Ag -0.668 1.662 2.864
Ag 0.001 4.204 8.623
Ag 2.414 5.080 12.389
Ca -1.898 3.308 5.237
Ca 3.644 3.434 10.016
```

## Properties
Formation energy, eV per atom: -0.21
Total DFT energy (no corrections), eV/f.u.: -8.34
V, Å³ per atom: 24.06
Magnetization, μB/cell: 0.0
Space-group type: C2/m, No. 12

---

Crystalline Ca2Ag at its relaxed geometry. Source: the Alexandria database, functional GGA-PBE.

```
6
Lattice="-1.994 -1.955 -6.561 -3.103 -4.859 -4.197 -6.386 3.237 0.979" Properties=species:S:1:pos:R:3 pbc="T T T"
Ag -4.053 -0.356 -2.339
Ag -6.046 2.865 0.682
Ca -4.516 -3.542 -6.467
Ca -7.898 -2.175 -6.375
Ca -1.955 -2.320 -3.766
Ca -8.069 -4.608 -9.442
```

## Properties
Formation energy, eV per atom: -0.21
Total DFT energy (no corrections), eV/f.u.: -7.48
V, Å³ per atom: 32.26
Magnetization, μB/cell: 0.0
Space-group type: Cmc2_1, No. 36

---

Crystalline Ca5Ag3 at its relaxed geometry. Source: the Alexandria database, functional GGA-PBE.

```
16
Lattice="9.348 -0.015 0.000 2.503 9.007 0.000 -5.926 -4.496 5.662" Properties=species:S:1:pos:R:3 pbc="T T T"
Ca 2.489 5.442 0.934
Ca 5.940 8.061 0.934
Ca 1.161 2.054 2.831
Ca 5.926 4.496 0.000
Ca -2.290 -0.565 2.831
Ca 4.764 2.442 2.831
Ca 3.437 -0.946 4.728
Ca -0.014 -3.565 4.728
Ca 0.000 0.000 0.000
Ca 8.216 5.061 2.831
Ag -1.711 2.255 4.269
Ag 7.637 2.241 1.393
Ag 5.083 5.606 2.831
Ag 8.888 6.744 0.000
Ag 0.842 -1.110 2.831
Ag 2.963 2.248 0.000
```

## Properties
ΔE to the lowest computed polymorph, meV/atom: 0
Formation energy, eV per atom: -0.28
Total DFT energy (no corrections), eV/f.u.: -20.80
V, Å³ per atom: 29.81
Magnetization, μB/cell: 0.0
Space-group type: I4/mcm, No. 140

---

Crystalline Ca5Ag at its relaxed geometry. Source: the Alexandria database, functional GGA-PBE.

```
6
Lattice="-2.251 -4.992 4.210 1.611 -5.135 4.330 -0.155 3.015 8.611" Properties=species:S:1:pos:R:3 pbc="T T T"
Ca -0.709 -8.170 13.088
Ca -0.415 -5.543 6.762
Ca -0.530 -4.223 12.054
Ca -0.362 -0.666 10.871
Ca -0.247 -1.990 5.580
Ag -0.631 -9.682 8.778
```

## Properties
ΔE to the lowest computed polymorph, meV/atom: 16
Formation energy, eV per atom: -0.09
Total DFT energy (no corrections), eV/f.u.: -13.37
V, Å³ per atom: 36.43
Magnetization, μB/cell: 0.0
Space-group type: Cm, No. 8